# GGA-PBE LiCaEuAl, relaxed
# - Space group: No. 216
# - M_tot: 7.02 μB/f.u.
data_LiCaEuAl
_chemical_formula_sum 'Li4 Ca4 Eu4 Al4'
_cell_length_a 7.664
_cell_length_b 7.664
_cell_length_c 7.664
_cell_angle_alpha 90.00
_cell_angle_beta 90.00
_cell_angle_gamma 90.00
_symmetry_space_group_name_H-M 'P 1'
_symmetry_Int_Tables_number 1
loop_
_symmetry_equiv_pos_as_xyz
'x,y,z'
loop_
_atom_site_label
_atom_site_fract_x
_atom_site_fract_y
_atom_site_fract_z
_atom_site_occupancy
Li1 0.000 0.000 0.000 1
Li2 0.000 0.500 0.500 1
Li3 0.500 0.000 0.500 1
Li4 0.500 0.500 0.000 1
Ca1 0.250 0.250 0.750 1
Ca2 0.250 0.750 0.250 1
Ca3 0.750 0.250 0.250 1
Ca4 0.750 0.750 0.750 1
Eu1 0.250 0.250 0.250 1
Eu2 0.250 0.750 0.750 1
Eu3 0.750 0.250 0.750 1
Eu4 0.750 0.750 0.250 1
Al1 0.000 0.000 0.500 1
Al2 0.000 0.500 0.000 1
Al3 0.500 0.000 0.000 1
Al4 0.500 0.500 0.500 1

---

# GGA-PBE CaEuLuAl, relaxed
# - Space group: No. 216
# - M_tot: 7.21 μB/f.u.
data_CaEuLuAl
_chemical_formula_sum 'Ca4 Eu4 Lu4 Al4'
_cell_length_a 7.731
_cell_length_b 7.731
_cell_length_c 7.731
_cell_angle_alpha 90.00
_cell_angle_beta 90.00
_cell_angle_gamma 90.00
_symmetry_space_group_name_H-M 'P 1'
_symmetry_Int_Tables_number 1
loop_
_symmetry_equiv_pos_as_xyz
'x,y,z'
loop_
_atom_site_label
_atom_site_fract_x
_atom_site_fract_y
_atom_site_fract_z
_atom_site_occupancy
Ca1 0.000 0.000 0.000 1
Ca2 0.000 0.500 0.500 1
Ca3 0.500 0.000 0.500 1
Ca4 0.500 0.500 0.000 1
Eu1 0.250 0.250 0.750 1
Eu2 0.250 0.750 0.250 1
Eu3 0.750 0.250 0.250 1
Eu4 0.750 0.750 0.750 1
Lu1 0.250 0.250 0.250 1
Lu2 0.250 0.750 0.750 1
Lu3 0.750 0.250 0.750 1
Lu4 0.750 0.750 0.250 1
Al1 0.000 0.000 0.500 1
Al2 0.000 0.500 0.000 1
Al3 0.500 0.000 0.000 1
Al4 0.500 0.500 0.500 1

---

# GGA-PBE CaEuMgAl, relaxed
# - Space group: No. 216
# - M_tot: 6.96 μB/f.u.
data_CaEuMgAl
_chemical_formula_sum 'Ca4 Eu4 Mg4 Al4'
_cell_length_a 7.693
_cell_length_b 7.693
_cell_length_c 7.693
_cell_angle_alpha 90.00
_cell_angle_beta 90.00
_cell_angle_gamma 90.00
_symmetry_space_group_name_H-M 'P 1'
_symmetry_Int_Tables_number 1
loop_
_symmetry_equiv_pos_as_xyz
'x,y,z'
loop_
_atom_site_label
_atom_site_fract_x
_atom_site_fract_y
_atom_site_fract_z
_atom_site_occupancy
Ca1 0.000 0.000 0.000 1
Ca2 0.000 0.500 0.500 1
Ca3 0.500 0.000 0.500 1
Ca4 0.500 0.500 0.000 1
Eu1 0.000 0.000 0.500 1
Eu2 0.000 0.500 0.000 1
Eu3 0.500 0.000 0.000 1
Eu4 0.500 0.500 0.500 1
Mg1 0.250 0.250 0.250 1
Mg2 0.250 0.750 0.750 1
Mg3 0.750 0.250 0.750 1
Mg4 0.750 0.750 0.250 1
Al1 0.250 0.250 0.750 1
Al2 0.250 0.750 0.250 1
Al3 0.750 0.250 0.250 1
Al4 0.750 0.750 0.750 1

---

# GGA-PBE NaCaEuAl, relaxed
# - Space group: No. 216
# - M_tot: 6.99 μB/f.u.
data_NaCaEuAl
_chemical_formula_sum 'Na4 Ca4 Eu4 Al4'
_cell_length_a 7.872
_cell_length_b 7.872
_cell_length_c 7.872
_cell_angle_alpha 90.00
_cell_angle_beta 90.00
_cell_angle_gamma 90.00
_symmetry_space_group_name_H-M 'P 1'
_symmetry_Int_Tables_number 1
loop_
_symmetry_equiv_pos_as_xyz
'x,y,z'
loop_
_atom_site_label
_atom_site_fract_x
_atom_site_fract_y
_atom_site_fract_z
_atom_site_occupancy
Na1 0.000 0.000 0.000 1
Na2 0.000 0.500 0.500 1
Na3 0.500 0.000 0.500 1
Na4 0.500 0.500 0.000 1
Ca1 0.250 0.250 0.250 1
Ca2 0.250 0.750 0.750 1
Ca3 0.750 0.250 0.750 1
Ca4 0.750 0.750 0.250 1
Eu1 0.250 0.250 0.750 1
Eu2 0.250 0.750 0.250 1
Eu3 0.750 0.250 0.250 1
Eu4 0.750 0.750 0.750 1
Al1 0.000 0.000 0.500 1
Al2 0.000 0.500 0.000 1
Al3 0.500 0.000 0.000 1
Al4 0.500 0.500 0.500 1

---

# GGA-PBE CaEuAlPb, relaxed
# - Space group: No. 216
# - M_tot: 7.04 μB/f.u.
data_CaEuAlPb
_chemical_formula_sum 'Ca4 Eu4 Al4 Pb4'
_cell_length_a 7.743
_cell_length_b 7.743
_cell_length_c 7.743
_cell_angle_alpha 90.00
_cell_angle_beta 90.00
_cell_angle_gamma 90.00
_symmetry_space_group_name_H-M 'P 1'
_symmetry_Int_Tables_number 1
loop_
_symmetry_equiv_pos_as_xyz
'x,y,z'
loop_
_atom_site_label
_atom_site_fract_x
_atom_site_fract_y
_atom_site_fract_z
_atom_site_occupancy
Ca1 0.000 0.000 0.000 1
Ca2 0.000 0.500 0.500 1
Ca3 0.500 0.000 0.500 1
Ca4 0.500 0.500 0.000 1
Eu1 0.000 0.000 0.500 1
Eu2 0.000 0.500 0.000 1
Eu3 0.500 0.000 0.000 1
Eu4 0.500 0.500 0.500 1
Al1 0.250 0.250 0.750 1
Al2 0.250 0.750 0.250 1
Al3 0.750 0.250 0.250 1
Al4 0.750 0.750 0.750 1
Pb1 0.250 0.250 0.250 1
Pb2 0.250 0.750 0.750 1
Pb3 0.750 0.250 0.750 1
Pb4 0.750 0.750 0.250 1

---

# GGA-PBE CaPmEuAl, relaxed
# - Space group: No. 216
# - M_tot: 7.35 μB/f.u.
data_CaPmEuAl
_chemical_formula_sum 'Ca4 Pm4 Eu4 Al4'
_cell_length_a 7.870
_cell_length_b 7.870
_cell_length_c 7.870
_cell_angle_alpha 90.00
_cell_angle_beta 90.00
_cell_angle_gamma 90.00
_symmetry_space_group_name_H-M 'P 1'
_symmetry_Int_Tables_number 1
loop_
_symmetry_equiv_pos_as_xyz
'x,y,z'
loop_
_atom_site_label
_atom_site_fract_x
_atom_site_fract_y
_atom_site_fract_z
_atom_site_occupancy
Ca1 0.000 0.000 0.000 1
Ca2 0.000 0.500 0.500 1
Ca3 0.500 0.000 0.500 1
Ca4 0.500 0.500 0.000 1
Pm1 0.250 0.250 0.250 1
Pm2 0.250 0.750 0.750 1
Pm3 0.750 0.250 0.750 1
Pm4 0.750 0.750 0.250 1
Eu1 0.250 0.250 0.750 1
Eu2 0.250 0.750 0.250 1
Eu3 0.750 0.250 0.250 1
Eu4 0.750 0.750 0.750 1
Al1 0.000 0.000 0.500 1
Al2 0.000 0.500 0.000 1
Al3 0.500 0.000 0.000 1
Al4 0.500 0.500 0.500 1

---

| no. | DFT formation energy (eV per atom) |
| --- | --- |
| 1 | -0.125 |
| 2 | -0.003 |
| 3 | -0.165 |
| 4 | -0.055 |
| 5 | -0.346 |
| 6 | -0.044 |